Here is CrMoCl2 after structural relaxation from Alexandria via LeMat-Bulk. Energies are from GGA-PBE.

Computed properties:
**ΔE to the lowest computed polymorph**: 38 meV per atom
**Formation energy without anion corrections**: -0.187 eV per atom

The structure in extended XYZ format:
```
4
Lattice="9.2801 0.0317 0.0187 8.7413 3.1162 0.0187 8.7413 1.5269 2.7166" Properties=species:S:1:pos:R:3 pbc="T T T"
Cl 6.0036 1.0487 0.6178
Cr 13.3092 2.3248 1.3695
Mo 20.1650 3.5223 2.0750
Cl 0.6664 0.1164 0.0686
```

=====

Here is B3AsRh after structural relaxation from Alexandria via LeMat-Bulk. Energies are from GGA-PBE.

Computed properties:
**ΔE to the lowest computed polymorph**: 0 meV per atom

The structure in extended XYZ format:
```
5
Lattice="-2.8070 -0.9256 -2.8432 1.2632 -3.9017 0.0231 -2.7101 -0.8599 2.9556" Properties=species:S:1:pos:R:3 pbc="T T T"
B -1.4035 -0.4628 -1.4216
As -2.1270 -2.8436 0.0677
B -1.3550 -0.4300 1.4778
B 0.6316 -1.9509 0.0115
Rh 0.0000 0.0000 0.0000
```

=====

Here is LiYSe2 after structural relaxation from Alexandria via LeMat-Bulk. Energies are from GGA-PBE.

Computed properties:
**Formation energy without anion corrections**: -1.421 eV per atom

The structure in extended XYZ format:
```
4
Lattice="-1.5451 -3.9852 -2.6168 3.8224 0.5851 -3.1880 0.2126 -0.8609 4.9326" Properties=species:S:1:pos:R:3 pbc="T T T"
Li 2.5868 -0.9880 -0.5789
Y -0.0970 -3.2731 -0.2933
Se 1.0936 -1.6328 -2.7875
Se 0.0451 -0.0673 -0.1148
```

=====

Here is PbSO2 after structural relaxation from Alexandria via LeMat-Bulk. Energies are from GGA-PBE.

Computed properties:
**ΔE to the lowest computed polymorph**: 320 meV per atom
**Formation energy without anion corrections**: -0.071 eV per atom

The structure in extended XYZ format:
```
8
Lattice="4.6671 0.0000 0.0000 0.0000 4.6671 0.0000 2.3336 2.3336 6.3323" Properties=species:S:1:pos:R:3 pbc="T T T"
O 5.8339 5.4383 4.7492
S 2.3336 4.6671 3.1661
O 3.5004 3.8960 4.7492
Pb 0.0000 0.0000 0.0000
S 2.3336 2.3336 0.0000
Pb 4.6671 2.3336 3.1661
O 1.5624 3.5004 1.5831
O 3.1047 1.1668 1.5831
```

=====

Here is Ca2NdIn after structural relaxation from Alexandria via LeMat-Bulk. Energies are from GGA-PBE.

Computed properties:
**ΔE to the lowest computed polymorph**: 0 meV per atom

The structure in extended XYZ format:
```
4
Lattice="-0.4280 3.4491 4.0115 -4.7613 0.6839 -1.0961 -1.2292 -3.6869 3.0389" Properties=species:S:1:pos:R:3 pbc="T T T"
Ca -0.6146 -1.8435 1.5195
In -3.2093 0.2231 2.9772
Nd -0.2140 1.7246 2.0057
Ca -2.3807 0.3420 -0.5480
```

=====

Here is Th2BiH2 after structural relaxation from Alexandria via LeMat-Bulk. Energies are from GGA-PBE.

Computed properties:
**DFT total energy**: -27.63 eV/f.u.

The structure in extended XYZ format:
```
10
Lattice="6.2099 -0.7850 -0.1037 -2.0578 5.9114 -0.1037 -1.8700 -2.3088 5.8837" Properties=species:S:1:pos:R:3 pbc="T T T"
Th 0.9760 2.4983 1.3673
H 2.6200 1.3240 2.6763
H -0.1841 1.6834 5.6181
H 2.4662 1.1341 0.0583
Th 1.3060 0.3193 4.3091
Bi -1.5820 4.5701 1.3673
Th 4.0456 0.0121 1.3673
Th -1.7636 2.8054 4.3091
H -0.3379 1.4935 3.0002
Bi 3.8640 -1.7526 4.3091
```

=====

Here is Fe2ReBr after structural relaxation from Alexandria via LeMat-Bulk. Energies are from GGA-PBE.

Computed properties:
**ΔE to the lowest computed polymorph**: 125 meV per atom
**Formation energy without anion corrections**: 0.677 eV per atom

The structure in extended XYZ format:
```
4
Lattice="-3.8170 -0.8987 -1.4093 -1.7180 -2.1306 -3.1420 -0.5848 -5.6605 3.3162" Properties=species:S:1:pos:R:3 pbc="T T T"
Fe -4.8436 -6.6073 -1.1698
Re -3.2749 -4.9586 -0.4417
Fe -0.9039 -5.2920 2.6676
Br -0.7421 -1.8373 0.4073
```

=====

Here is Y4Tm3Se8 after structural relaxation from Alexandria via LeMat-Bulk. Energies are from GGA-PBE.

Computed properties:
**Formation energy without anion corrections**: -1.811 eV per atom

The structure in extended XYZ format:
```
15
Lattice="8.0788 -0.1141 -0.1638 -3.9418 7.0507 0.1310 -3.9418 -2.3247 6.6577" Properties=species:S:1:pos:R:3 pbc="T T T"
Se -1.8988 3.4549 4.9629
Se 2.1866 3.3982 4.8815
Se 2.0939 1.1570 1.6620
Y 4.0394 -0.0570 -0.0819
Y -1.9709 -1.1624 3.3289
Se -3.9418 0.0654 4.9938
Se 0.0976 4.6306 1.6942
Se -3.9418 4.6605 1.7950
Se -1.9915 1.2137 1.7435
Y -1.9709 3.5254 0.0655
Tm 2.0685 3.4683 -0.0164
Tm 2.0685 -1.2194 3.2469
Tm 0.0976 2.3060 3.3125
Y 0.0000 0.0000 0.0000
Se 0.0976 -0.0187 4.9308
```